[1]
The following is a PBE calculation of a relaxed CrInHg crystal, from Alexandria.

Summary:
- ΔE to the lowest computed polymorph (eV/atom) = 0.113
- DFT formation energy (eV per atom) = 0.42

Cell: 6.1632 4.4722 9.7081 Å, 90.00 91.74 90.00°
Closest atoms and distances in Å follow each position.
Sites, in units of the cell vectors:
In 0.4252 0.5000 0.6890  5 Cr 3.02-3.13, 3 In 3.05-3.06, 3 Hg 3.16-3.29
In 0.4252 0.0000 0.1890  5 Cr 3.02-3.13, 3 In 3.05-3.06, 3 Hg 3.16-3.29
In 0.5576 0.5000 0.9942  3 Cr 2.92-2.94, 3 In 3.05-3.06, 3 Hg 3.09-3.26
In 0.5576 0.0000 0.4942  3 Cr 2.92-2.94, 3 In 3.05-3.06, 3 Hg 3.09-3.26
Cr 0.7589 0.0000 0.7731  5 Hg 2.93-3.13, 3 In 2.94-3.13, 1 Cr 3.07
Cr 0.7589 0.5000 0.2731  5 Hg 2.93-3.13, 3 In 2.94-3.13, 1 Cr 3.07
Cr 0.2996 0.0000 0.8864  3 Hg 2.82-3.01, 5 In 2.92-3.06, 1 Cr 3.07
Cr 0.2996 0.5000 0.3864  3 Hg 2.82-3.01, 5 In 2.92-3.06, 1 Cr 3.07
Hg 0.0200 0.5000 0.8801  4 Cr 2.82-2.93, 3 Hg 2.98-3.01, 2 In 3.09-3.16
Hg 0.0200 0.0000 0.3801  4 Cr 2.82-2.93, 3 Hg 2.98-3.01, 2 In 3.09-3.16
Hg 0.9238 0.5000 0.5772  3 Hg 2.98-3.01, 4 Cr 3.01-3.13, 4 In 3.24-3.29
Hg 0.9238 0.0000 0.0772  3 Hg 2.98-3.01, 4 Cr 3.01-3.13, 4 In 3.24-3.29



[2]
The following is a PBE calculation of a relaxed BeTlTc crystal, from Alexandria.

Summary:
- ΔE to the lowest computed polymorph (eV/atom) = 0.215
- DFT formation energy (eV per atom) = 0.66

Cell: 4.0194 4.0194 3.4490 Å, 90.00 90.00 120.00°
Closest atoms and distances in Å follow each position.
Sites, in units of the cell vectors:
Be 0.0000 0.0000 0.0835  3 Tc 2.36
Tl 0.3333 0.6667 0.7050  3 Be 2.66, 6 Tc 2.88-2.90
Tc 0.6667 0.3333 0.2115  3 Be 2.36



[3]
The following is a PBE calculation of a relaxed GaGe2BIr crystal, from Alexandria.

Summary:
- ΔE to the lowest computed polymorph (eV/atom) = 1.200
- DFT formation energy (eV per atom) = 1.70

Cell: 4.8042 4.6466 4.8042 Å, 90.00 90.00 90.00°
Closest atoms and distances in Å follow each position.
Sites, in units of the cell vectors:
Ge 0.0000 0.0000 0.5000  2 Ga 2.40
Ge 0.5000 0.0000 0.0000  2 Ga 2.40
Ga 0.0000 0.0000 0.0000  2 Ir 2.32, 4 Ge 2.40
Ir 0.0000 0.5000 0.0000  2 Ga 2.32
B 0.5000 0.5000 0.5000  8 Ge 3.34, 4 Ir 3.40



[4]
The following is a PBE calculation of a relaxed CsCdPb4 crystal, from Alexandria.

Summary:
- ΔE to the lowest computed polymorph (eV/atom) = 0.000
- DFT formation energy (eV per atom) = -0.05

Cell: 9.6045 6.0964 12.2257 Å, 128.22 116.47 90.23°
Closest atoms and distances in Å follow each position.
Sites, in units of the cell vectors:
Pb 0.2910 0.2584 0.3679  1 Cd 3.07, 3 Pb 3.20-3.40
Pb 0.7303 0.5756 0.2816  1 Cd 3.07, 4 Pb 3.22-3.39
Pb 0.2697 0.4244 0.7184  1 Cd 3.07, 4 Pb 3.22-3.39
Pb 0.5796 0.0736 0.2772  5 Pb 3.20-3.40, 2 Cd 3.40-3.44
Pb 0.7090 0.7416 0.6321  1 Cd 3.07, 3 Pb 3.20-3.40
Pb 0.1130 0.7353 0.3617  2 Cd 3.20-3.27, 5 Pb 3.22-3.55
Pb 0.4204 0.9264 0.7228  5 Pb 3.20-3.40, 2 Cd 3.40-3.44
Pb 0.8870 0.2647 0.6383  2 Cd 3.20-3.27, 5 Pb 3.22-3.55
Cs 0.7816 0.7546 0.0015  2 Cd 4.04-4.06, 11 Pb 4.04-4.48
Cs 0.2184 0.2454 0.9985  2 Cd 4.04-4.06, 11 Pb 4.04-4.48
Cd 0.5000 0.0000 0.5000  6 Pb 3.07-3.40
Cd 0.0000 0.5000 0.5000  4 Pb 3.07-3.27



[5]
The following is a PBE calculation of a relaxed BeCdGe crystal, from Alexandria.

Summary:
- ΔE to the lowest computed polymorph (eV/atom) = 0.006
- DFT formation energy (eV per atom) = 0.19

Cell: 3.7008 4.0846 8.7458 Å, 79.16 77.68 62.97°
Closest atoms and distances in Å follow each position.
Sites, in units of the cell vectors:
Cd 0.3885 0.8316 0.7252  1 Be 2.59
Cd 0.7921 0.2442 0.5038  1 Be 2.54
Ge 0.6885 0.7461 0.2215  5 Be 2.29-2.47
Ge 0.9760 0.4354 0.9576  4 Be 2.33-2.40
Be 0.0051 0.1164 0.2176  1 Be 2.07, 3 Ge 2.29
Be 0.2575 0.8005 0.0292  1 Be 2.07



[6]
The following is a PBE calculation of a relaxed MgAlPb2 crystal, from Alexandria.

Summary:
- ΔE to the lowest computed polymorph (eV/atom) = 0.035
- DFT formation energy (eV per atom) = 0.12

Cell: 5.5587 5.5587 5.5587 Å, 128.20 128.20 76.30°
Closest atoms and distances in Å follow each position.
Sites, in units of the cell vectors:
Mg 0.7500 0.2500 0.5000  8 Pb 3.27, 4 Al 3.43
Pb 0.5000 0.5000 0.0000  4 Al 3.27, 4 Mg 3.27, 4 Pb 3.43
Pb 0.0000 0.0000 0.0000  4 Mg 3.27, 4 Al 3.27, 4 Pb 3.43
Al 0.2500 0.7500 0.5000  8 Pb 3.27, 4 Mg 3.43



Q: Look up the DFT formation energy of the first one.
A: 0.42 eV per atom



Q: Which of these has the lowest ΔE to the lowest computed polymorph?
A: CsCdPb4